Record 1
DFT (PBE) results for a relaxed structure of Hf2Ga3Tc.

```
data_Hf2Ga3Tc
_chemical_formula_sum 'Hf2 Ga3 Tc1'
_cell_length_a 3.2742
_cell_length_b 5.3248
_cell_length_c 7.1034
_cell_angle_alpha 112.01
_cell_angle_beta 103.32
_cell_angle_gamma 90.00
_symmetry_space_group_name_H-M 'P 1'
_symmetry_Int_Tables_number 1
loop_
_symmetry_equiv_pos_as_xyz
'x,y,z'
loop_
_atom_site_label
_atom_site_fract_x
_atom_site_fract_y
_atom_site_fract_z
_atom_site_occupancy
Tc1 0.0000 0.5000 0.0000 1
Ga1 0.0000 0.0000 0.0000 1
Ga2 0.3471 0.3471 0.6943 1
Ga3 0.6529 0.6529 0.3057 1
Hf1 0.3271 0.8271 0.6542 1
Hf2 0.6729 0.1729 0.3458 1
```

Properties
- ΔH_f (0 K) (eV per atom) = -0.012
- DFT total energy (eV/atom) = -6.57
- relative energy among the computed polymorphs (meV/atom) = 427


Record 2
DFT (PBE) results for a relaxed structure of LiTiSb2.

```
data_LiTiSb2
_chemical_formula_sum 'Li1 Ti1 Sb2'
_cell_length_a 3.5300
_cell_length_b 3.5300
_cell_length_c 8.4692
_cell_angle_alpha 77.97
_cell_angle_beta 77.97
_cell_angle_gamma 60.00
_symmetry_space_group_name_H-M 'P 1'
_symmetry_Int_Tables_number 1
loop_
_symmetry_equiv_pos_as_xyz
'x,y,z'
loop_
_atom_site_label
_atom_site_fract_x
_atom_site_fract_y
_atom_site_fract_z
_atom_site_occupancy
Li1 0.5000 0.5000 0.5000 1
Sb1 0.7458 0.7458 0.7625 1
Sb2 0.2542 0.2542 0.2375 1
Ti1 0.0000 0.0000 0.0000 1
```

Properties
- formation energy from raw total energies (eV per formula unit) = -1.42
- DFT total energy (eV/atom) = -4.87
- relative energy among the computed polymorphs (meV/atom) = 0


Record 3
DFT (PBE) results for a relaxed structure of NpSi4Ir2Os.

```
data_NpSi4Ir2Os
_chemical_formula_sum 'Np1 Si4 Ir2 Os1'
_cell_length_a 4.0830
_cell_length_b 4.0830
_cell_length_c 8.9035
_cell_angle_alpha 76.74
_cell_angle_beta 76.74
_cell_angle_gamma 60.00
_symmetry_space_group_name_H-M 'P 1'
_symmetry_Int_Tables_number 1
loop_
_symmetry_equiv_pos_as_xyz
'x,y,z'
loop_
_atom_site_label
_atom_site_fract_x
_atom_site_fract_y
_atom_site_fract_z
_atom_site_occupancy
Ir1 0.2327 0.2327 0.3020 1
Ir2 0.7673 0.7673 0.6980 1
Si1 0.8715 0.8715 0.3855 1
Si2 0.1285 0.1285 0.6145 1
Si3 0.3979 0.3979 0.8063 1
Si4 0.6021 0.6021 0.1937 1
Np1 0.0000 0.0000 0.0000 1
Os1 0.5000 0.5000 0.5000 1
```

Properties
- formation energy from raw total energies (eV per formula unit) = -3.56
- DFT total energy (eV/atom) = -8.39


Record 4
DFT (PBE) results for a relaxed structure of MgGa2Sn.

```
data_MgGa2Sn
_chemical_formula_sum 'Mg1 Ga2 Sn1'
_cell_length_a 4.2804
_cell_length_b 4.2804
_cell_length_c 6.4572
_cell_angle_alpha 70.64
_cell_angle_beta 70.64
_cell_angle_gamma 60.00
_symmetry_space_group_name_H-M 'P 1'
_symmetry_Int_Tables_number 1
loop_
_symmetry_equiv_pos_as_xyz
'x,y,z'
loop_
_atom_site_label
_atom_site_fract_x
_atom_site_fract_y
_atom_site_fract_z
_atom_site_occupancy
Sn1 0.4962 0.4962 0.5114 1
Ga1 0.0849 0.0849 0.7454 1
Ga2 0.2488 0.2488 0.2537 1
Mg1 0.6702 0.6702 0.9895 1
```

Properties
- ΔH_f (0 K) (eV per atom) = 0.022
- DFT total energy (eV/atom) = -2.89
- relative energy among the computed polymorphs (meV/atom) = 84


Computed values of DOS at the Fermi energy (unit: states/eV/cell) for the preceding records, in sequence: 4.666; 3.933; 8.710; 2.296.
Computed values of magnetization (unit: μB/atom) for the preceding records, in sequence: 0.00; 0.00; 0.43; 0.00.